(1)
Density functional theory data (PBE) for a geometry-optimized SrH3Pt structure.

## Properties
uncorrected energy	-3.80	eV/atom

Cell and atoms, written as POSCAR:
```
SrH3Pt
1.0
0.000 4.997 4.997
4.997 0.000 4.997
4.997 4.997 0.000
Sr H Pt
4 12 4
Direct
0.000 0.000 0.000 Sr
0.000 0.000 0.500 Sr
0.000 0.500 0.000 Sr
0.500 0.000 0.000 Sr
0.200 0.200 0.550 H
0.200 0.550 0.200 H
0.200 0.550 0.550 H
0.450 0.450 0.800 H
0.450 0.800 0.450 H
0.450 0.800 0.800 H
0.550 0.200 0.200 H
0.550 0.200 0.550 H
0.550 0.550 0.200 H
0.800 0.450 0.450 H
0.800 0.450 0.800 H
0.800 0.800 0.450 H
0.000 0.500 0.500 Pt
0.500 0.000 0.500 Pt
0.500 0.500 0.000 Pt
0.500 0.500 0.500 Pt
```

=====

(2)
Density functional theory data (PBE) for a geometry-optimized La2Sm3Tl4 structure.

## Properties
ΔE to the lowest computed polymorph	0.044	eV/atom
formation enthalpy at 0 K	-0.274	eV per atom

Cell and atoms, written as POSCAR:
```
La2Sm3Tl4
1.0
3.683 -8.415 0.000
3.683 8.415 0.000
0.000 0.000 9.391
La Sm Tl
4 6 8
Direct
0.109 0.891 0.926 La
0.391 0.609 0.426 La
0.609 0.391 0.574 La
0.891 0.109 0.074 La
0.000 0.000 0.500 Sm
0.033 0.467 0.750 Sm
0.467 0.033 0.250 Sm
0.500 0.500 0.000 Sm
0.533 0.967 0.750 Sm
0.967 0.533 0.250 Sm
0.186 0.814 0.538 Tl
0.219 0.281 0.750 Tl
0.281 0.219 0.250 Tl
0.314 0.686 0.038 Tl
0.686 0.314 0.962 Tl
0.719 0.781 0.750 Tl
0.781 0.719 0.250 Tl
0.814 0.186 0.462 Tl
```

=====

(3)
Density functional theory data (PBE) for a geometry-optimized VCd3Co structure.

## Properties
ΔE to the lowest computed polymorph	0.000	eV/atom
formation enthalpy at 0 K	0.823	eV per atom

Cell and atoms, written as POSCAR:
```
VCd3Co
1.0
4.859 0.000 0.000
0.000 4.859 0.000
0.000 0.000 4.859
V Cd Co
1 3 1
Direct
0.000 0.000 0.000 V
0.000 0.500 0.500 Cd
0.500 0.000 0.500 Cd
0.500 0.500 0.000 Cd
0.500 0.500 0.500 Co
```

=====

(4)
Density functional theory data (PBE) for a geometry-optimized Li8Mg5Ag structure.

## Properties
formation enthalpy at 0 K	0.076	eV per atom

Cell and atoms, written as POSCAR:
```
Li8Mg5Ag
1.0
-4.753 4.753 3.386
4.753 -4.753 3.386
4.753 4.753 -3.386
Li Mg Ag
8 5 1
Direct
0.088 0.381 0.642 Li
0.114 0.032 0.636 Li
0.396 0.478 0.364 Li
0.522 0.886 0.918 Li
0.554 0.912 0.293 Li
0.619 0.261 0.707 Li
0.739 0.446 0.358 Li
0.968 0.604 0.082 Li
0.034 0.271 0.984 Mg
0.250 0.750 0.500 Mg
0.287 0.050 0.016 Mg
0.729 0.713 0.763 Mg
0.950 0.966 0.237 Mg
0.500 0.500 0.000 Ag
```

=====

(5)
Density functional theory data (PBE) for a geometry-optimized Ta3NF structure.

## Properties
formation energy (no corrections)	-0.04	eV per atom
ΔE to the lowest computed polymorph	0.000	eV/atom

Cell and atoms, written as POSCAR:
```
Ta3NF
1.0
4.230 0.000 0.000
0.000 4.230 0.000
0.000 0.000 4.230
Ta N F
3 1 1
Direct
0.000 0.000 0.500 Ta
0.000 0.500 0.000 Ta
0.500 0.000 0.000 Ta
0.000 0.000 0.000 N
0.500 0.500 0.500 F
```

=====

(6)
Density functional theory data (PBE) for a geometry-optimized ErGa2CuNi structure.

## Properties
formation enthalpy at 0 K	-0.460	eV per atom

Cell and atoms, written as POSCAR:
```
ErGa2CuNi
1.0
-2.052 2.052 4.970
2.052 -2.052 4.970
2.052 2.052 -4.970
Er Ga Cu Ni
1 2 1 1
Direct
0.000 0.000 0.000 Er
0.374 0.374 0.000 Ga
0.626 0.626 0.000 Ga
0.250 0.750 0.500 Cu
0.750 0.250 0.500 Ni
```

=====

Respective size of the total moment values: 0.000, 0.000, 0.878, 0.000, 0.000, 0.000 μB/atom.
Respective calculated volume values: 12.479, 32.335, 22.943, 21.851, 15.141, 16.740 A^3/atom.